Record 1
Computed, not measured: a relaxed structure of Rb2SeSCl6 at the GGA-PBE level of DFT.

Summary:
VASP energy	-2.7931	eV per atom
M_tot	0.0	μB per formula unit
raw formation energy	-0.7304	eV/atom
calculated volume	27.84	A^3/atom

Cell and atoms, written as POSCAR:
```
Rb2SeSCl6
1.0
7.824 0.000 0.000
0.000 7.824 0.000
3.912 3.912 4.547
Cl Se Rb S
6 1 2 1
direct
0.259 0.259 0.482
0.773 0.227 0.000
0.227 0.773 0.000
0.773 0.773 0.000
0.227 0.227 0.000
0.741 0.741 0.518
0.000 0.000 0.000
0.250 0.750 0.500
0.750 0.250 0.500
0.500 0.500 0.000
```

***

Record 2
Computed, not measured: a relaxed structure of Na4Cd3In2 at the GGA-PBE level of DFT.

Summary:
calculated formation energy	-0.09	eV per atom
VASP energy	-1.5886	eV per atom
M_tot	0.0	μB per formula unit
calculated volume	25.96	A^3/atom

Cell and atoms, written as POSCAR:
```
Na4Cd3In2
1.0
-0.673 -4.625 1.166
4.940 -2.924 1.201
0.644 -0.201 9.524
Cd Na In
3 4 2
direct
0.661 0.230 0.448
0.000 0.000 0.000
0.339 0.770 0.552
0.986 0.691 0.337
0.659 0.570 0.112
0.014 0.309 0.663
0.341 0.430 0.888
0.684 0.874 0.759
0.316 0.126 0.241
```

***

Record 3
Computed, not measured: a relaxed structure of PaZn2N3 at the GGA-PBE level of DFT.

Summary:
VASP energy	-6.7516	eV per atom
M_tot	0.0	μB per formula unit
raw formation energy	-0.5816	eV/atom
calculated volume	12.36	A^3/atom

Cell and atoms, written as POSCAR:
```
PaZn2N3
1.0
3.459 0.000 0.000
0.000 4.499 0.000
0.000 0.000 9.531
N Pa Zn
6 2 4
direct
0.500 0.250 0.500
0.500 0.250 0.162
0.000 0.750 0.000
0.500 0.250 0.838
0.000 0.750 0.338
0.000 0.750 0.662
0.500 0.750 0.500
0.000 0.250 0.000
0.000 0.250 0.330
0.500 0.750 0.830
0.500 0.750 0.170
0.000 0.250 0.670
```

***

Copy entry 1 word for word.
Computed, not measured: a relaxed structure of Rb2SeSCl6 at the GGA-PBE level of DFT.

Summary:
VASP energy	-2.7931	eV per atom
M_tot	0.0	μB per formula unit
raw formation energy	-0.7304	eV/atom
calculated volume	27.84	A^3/atom

Cell and atoms, written as POSCAR:
```
Rb2SeSCl6
1.0
7.824 0.000 0.000
0.000 7.824 0.000
3.912 3.912 4.547
Cl Se Rb S
6 1 2 1
direct
0.259 0.259 0.482
0.773 0.227 0.000
0.227 0.773 0.000
0.773 0.773 0.000
0.227 0.227 0.000
0.741 0.741 0.518
0.000 0.000 0.000
0.250 0.750 0.500
0.750 0.250 0.500
0.500 0.500 0.000
```

***

What is the VASP energy in the first record?
-2.7931 eV per atom

***

Which of these has the lowest calculated volume?
PaZn2N3